# Cs2NdMgCl6

A geometry-optimized Cs2NdMgCl6 structure (PBE, Alexandria).

a = 7.5801 Å, b = 7.5908 Å, c = 10.7306 Å
α = 90.00°, β = 90.00°, γ = 90.00°
With the nearest neighbours (Å) after each atom.
Element x y z (fractional)
Cs1 0.5000 0.7500 0.2500  12 Cl 3.79-3.80
Cs2 0.0000 0.2500 0.7500  12 Cl 3.79-3.80
Cs3 0.5000 0.7500 0.7500  12 Cl 3.79-3.80
Cs4 0.0000 0.2500 0.2500  12 Cl 3.79-3.80
Nd1 0.0000 0.7494 0.5000  6 Cl 2.83
Nd2 0.5000 0.2506 0.0000  6 Cl 2.83
Mg1 0.5000 0.2495 0.5000  6 Cl 2.53
Mg2 0.0000 0.7505 0.0000  6 Cl 2.53
Cl1 0.5000 0.2499 0.2639  1 Mg 2.53, 1 Nd 2.83
Cl2 0.5000 0.2499 0.7361  1 Mg 2.53, 1 Nd 2.83
Cl3 0.0000 0.7501 0.2361  1 Mg 2.53, 1 Nd 2.83
Cl4 0.0000 0.7501 0.7639  1 Mg 2.53, 1 Nd 2.83
Cl5 0.2638 0.0134 0.5000  1 Mg 2.53, 1 Nd 2.83
Cl6 0.7362 0.0134 0.5000  1 Mg 2.53, 1 Nd 2.83
Cl7 0.2638 0.4854 0.5000  1 Mg 2.53, 1 Nd 2.83
Cl8 0.7362 0.4854 0.5000  1 Mg 2.53, 1 Nd 2.83
Cl9 0.7638 0.5146 0.0000  1 Mg 2.53, 1 Nd 2.83
Cl10 0.2362 0.5146 0.0000  1 Mg 2.53, 1 Nd 2.83
Cl11 0.2362 0.9866 0.0000  1 Mg 2.53, 1 Nd 2.83
Cl12 0.7638 0.9866 0.0000  1 Mg 2.53, 1 Nd 2.83

formation energy without anion corrections: -1.899 eV per atom
size of the total moment: 2.01 μB per cell
space group: Pmmn

# CsMgNi2Cl8

A geometry-optimized CsMgNi2Cl8 structure (PBE, Alexandria).

a = 6.4014 Å, b = 6.4014 Å, c = 10.1963 Å
α = 71.70°, β = 71.70°, γ = 60.00°
With the nearest neighbours (Å) after each atom.
Element x y z (fractional)
Cs1 0.5000 0.5000 0.5000  12 Cl 3.73-3.93
Mg1 0.0000 0.0000 0.0000  6 Cl 2.53
Ni1 0.2610 0.2610 0.2169  4 Cl 2.18-2.22
Ni2 0.7390 0.7390 0.7831  4 Cl 2.18-2.22
Cl1 0.1846 0.1846 0.4461  1 Ni 2.18
Cl2 0.6248 0.2636 0.1576  1 Ni 2.22
Cl3 0.8154 0.8154 0.5539  1 Ni 2.18
Cl4 0.9539 0.6248 0.1576  1 Ni 2.22
Cl5 0.0461 0.3752 0.8424  1 Ni 2.22
Cl6 0.2636 0.9539 0.1576  1 Ni 2.22
Cl7 0.7364 0.0461 0.8424  1 Ni 2.22
Cl8 0.3752 0.7364 0.8424  1 Ni 2.22

formation energy without anion corrections: -1.035 eV per atom
size of the total moment: 5.00 μB per cell
space group: R-3

# CsMgNiCl6

A geometry-optimized CsMgNiCl6 structure (PBE, Alexandria).

a = 6.2529 Å, b = 6.5079 Å, c = 7.8587 Å
α = 92.52°, β = 91.24°, γ = 58.61°
With the nearest neighbours (Å) after each atom.
Element x y z (fractional)
Cs1 0.9800 0.0104 0.0000  6 Cl 3.48-3.49
Mg1 0.6475 0.6761 0.5000  6 Cl 2.44-2.55
Ni1 0.3333 0.3333 0.5000  4 Cl 2.24-2.25
Cl1 0.0288 0.3546 0.3330  1 Ni 2.24
Cl2 0.3696 0.0142 0.6916  1 Mg 2.44, 1 Ni 2.53
Cl3 0.6206 0.3593 0.6624  1 Ni 2.25
Cl4 0.0278 0.6170 0.6670  1 Ni 2.24
Cl5 0.3707 0.6156 0.3082  1 Mg 2.44, 1 Ni 2.53
Cl6 0.6214 0.0194 0.3376  1 Ni 2.25

formation energy without anion corrections: -1.271 eV per atom
size of the total moment: 1.00 μB per cell
space group: P1

# CsMgNpCl6

A geometry-optimized CsMgNpCl6 structure (PBE, Alexandria).

a = 9.9836 Å, b = 9.4043 Å, c = 9.6866 Å
α = 119.04°, β = 121.02°, γ = 90.00°
With the nearest neighbours (Å) after each atom.
Element x y z (fractional)
Cs1 0.7954 0.5454 0.5908  1 Cl 3.46
Cs2 0.2046 0.4546 0.4092  1 Cl 3.46
Mg1 0.5000 0.5000 0.0000  6 Cl 2.42-2.58
Mg2 0.5000 0.0000 0.0000  6 Cl 2.42-2.58
Np1 0.5000 0.0000 0.5000  6 Cl 2.73-2.76
Np2 0.0000 0.0000 0.5000  6 Cl 2.73-2.76
Cl1 0.4576 0.7076 0.9153  2 Mg 2.42
Cl2 0.8366 0.0866 0.6732  2 Np 2.76
Cl3 0.8147 0.1033 0.2615  1 Mg 2.58, 1 Np 2.73
Cl4 0.4467 0.6582 0.2615  1 Mg 2.58, 1 Np 2.73
Cl5 0.4467 0.1033 0.2615  1 Mg 2.58, 1 Np 2.73
Cl6 0.8147 0.6582 0.2615  1 Mg 2.58, 1 Np 2.73
Cl7 0.5424 0.2924 0.0847  2 Mg 2.42
Cl8 0.1634 0.9134 0.3268  2 Np 2.76
Cl9 0.1853 0.8967 0.7385  1 Mg 2.58, 1 Np 2.73
Cl10 0.5533 0.3418 0.7385  1 Mg 2.58, 1 Np 2.73
Cl11 0.5533 0.8967 0.7385  1 Mg 2.58, 1 Np 2.73
Cl12 0.1853 0.3418 0.7385  1 Mg 2.58, 1 Np 2.73

formation energy without anion corrections: -1.804 eV per atom
size of the total moment: 8.00 μB per cell
space group: Imma

# Cs2Mg3NpCl12

A geometry-optimized Cs2Mg3NpCl12 structure (PBE, Alexandria).

a = 9.7322 Å, b = 9.7322 Å, c = 9.7322 Å
α = 56.29°, β = 56.29°, γ = 56.29°
With the nearest neighbours (Å) after each atom.
Element x y z (fractional)
Cs1 0.5913 0.5913 0.5913  3 Cl 3.66
Cs2 0.4087 0.4087 0.4087  3 Cl 3.66
Mg1 0.5000 0.0000 0.0000  6 Cl 2.46-2.69
Mg2 0.0000 0.5000 0.0000  6 Cl 2.46-2.69
Mg3 0.0000 0.0000 0.5000  6 Cl 2.46-2.69
Np1 0.0000 0.0000 0.0000  6 Cl 2.62
Cl1 0.3172 0.3172 0.9206  2 Mg 2.46
Cl2 0.9210 0.9210 0.3339  1 Np 2.62, 1 Mg 2.69
Cl3 0.3339 0.9210 0.9210  1 Np 2.62, 1 Mg 2.69
Cl4 0.9206 0.3172 0.3172  2 Mg 2.46
Cl5 0.9210 0.3339 0.9210  1 Np 2.62, 1 Mg 2.69
Cl6 0.3172 0.9206 0.3172  2 Mg 2.46
Cl7 0.6828 0.6828 0.0794  2 Mg 2.46
Cl8 0.0790 0.0790 0.6661  1 Np 2.62, 1 Mg 2.69
Cl9 0.6661 0.0790 0.0790  1 Np 2.62, 1 Mg 2.69
Cl10 0.0794 0.6828 0.6828  2 Mg 2.46
Cl11 0.0790 0.6661 0.0790  1 Np 2.62, 1 Mg 2.69
Cl12 0.6828 0.0794 0.6828  2 Mg 2.46

formation energy without anion corrections: -1.804 eV per atom
size of the total moment: 3.00 μB per cell
space group: R-3m

# CsMgOsCl6

A geometry-optimized CsMgOsCl6 structure (PBE, Alexandria).

a = 6.4045 Å, b = 6.4047 Å, c = 7.9178 Å
α = 90.00°, β = 90.00°, γ = 60.00°
With the nearest neighbours (Å) after each atom.
Element x y z (fractional)
Cs1 0.0000 0.0000 0.0000  6 Cl 3.49-3.50
Mg1 0.6666 0.6667 0.5000  6 Cl 2.53
Os1 0.3333 0.3333 0.5000  6 Cl 2.38-2.39
Cl1 0.0171 0.3580 0.3268  1 Os 2.38, 1 Mg 2.53
Cl2 0.3580 0.0172 0.6732  1 Os 2.38, 1 Mg 2.53
Cl3 0.6248 0.3580 0.6732  1 Os 2.38, 1 Mg 2.53
Cl4 0.0170 0.6249 0.6732  1 Os 2.39, 1 Mg 2.53
Cl5 0.3580 0.6249 0.3268  1 Os 2.39, 1 Mg 2.53
Cl6 0.6249 0.0171 0.3268  1 Os 2.38, 1 Mg 2.53

formation energy without anion corrections: -1.188 eV per atom
size of the total moment: 1.01 μB per cell
space group: P312

Copy entry 1 word for word.
# Cs2NdMgCl6

A geometry-optimized Cs2NdMgCl6 structure (PBE, Alexandria).

a = 7.5801 Å, b = 7.5908 Å, c = 10.7306 Å
α = 90.00°, β = 90.00°, γ = 90.00°
With the nearest neighbours (Å) after each atom.
Element x y z (fractional)
Cs1 0.5000 0.7500 0.2500  12 Cl 3.79-3.80
Cs2 0.0000 0.2500 0.7500  12 Cl 3.79-3.80
Cs3 0.5000 0.7500 0.7500  12 Cl 3.79-3.80
Cs4 0.0000 0.2500 0.2500  12 Cl 3.79-3.80
Nd1 0.0000 0.7494 0.5000  6 Cl 2.83
Nd2 0.5000 0.2506 0.0000  6 Cl 2.83
Mg1 0.5000 0.2495 0.5000  6 Cl 2.53
Mg2 0.0000 0.7505 0.0000  6 Cl 2.53
Cl1 0.5000 0.2499 0.2639  1 Mg 2.53, 1 Nd 2.83
Cl2 0.5000 0.2499 0.7361  1 Mg 2.53, 1 Nd 2.83
Cl3 0.0000 0.7501 0.2361  1 Mg 2.53, 1 Nd 2.83
Cl4 0.0000 0.7501 0.7639  1 Mg 2.53, 1 Nd 2.83
Cl5 0.2638 0.0134 0.5000  1 Mg 2.53, 1 Nd 2.83
Cl6 0.7362 0.0134 0.5000  1 Mg 2.53, 1 Nd 2.83
Cl7 0.2638 0.4854 0.5000  1 Mg 2.53, 1 Nd 2.83
Cl8 0.7362 0.4854 0.5000  1 Mg 2.53, 1 Nd 2.83
Cl9 0.7638 0.5146 0.0000  1 Mg 2.53, 1 Nd 2.83
Cl10 0.2362 0.5146 0.0000  1 Mg 2.53, 1 Nd 2.83
Cl11 0.2362 0.9866 0.0000  1 Mg 2.53, 1 Nd 2.83
Cl12 0.7638 0.9866 0.0000  1 Mg 2.53, 1 Nd 2.83

formation energy without anion corrections: -1.899 eV per atom
size of the total moment: 2.01 μB per cell
space group: Pmmn